Density functional theory data (GGA+U) for a relaxed BeVCoO crystal.

```
BeVCoO
1.0
-1.375 1.413 5.296
1.375 -1.413 5.296
1.375 1.413 -5.296
Be V Co O
1 1 1 1
Direct
0.000 0.000 0.000
0.268 0.268 0.000
0.625 0.625 0.000
0.917 0.417 0.500
```

Its space group is Imm2 (44). For the volume, the calculation gives 10.3 Å³/atom. As for the calculated density: 5.44 g/cm3. The raw total energy comes out at -22.83 eV for the cell shown.